[1]
This record from the Alexandria database describes crystalline ZnSbTe2S at its relaxed geometry. The functional is PBE.

Cell and atoms, written as POSCAR:
```
ZnSbTe2S
1.0
5.176 0.000 0.000
0.000 5.176 0.000
0.000 0.000 5.316
Zn Sb Te S
1 1 2 1
Cartesian
0.000 0.000 0.000
0.000 0.000 2.658
0.000 2.588 0.000
2.588 0.000 0.000
2.588 2.588 2.658
```

Output
Its energy above the lowest structure with this stoichiometry is 149.3 meV/atom. Its final energy is -2.439 eV/atom. As for the symmetry: P4/mmm. As for the formation energy from raw total energies: 723 meV per atom. The value obtained for the magnetic moment is 0.00 μB per atom.

[2]
This record from the Alexandria database describes crystalline LaSiRu2 at its relaxed geometry. The functional is PBE.

Cell and atoms, written as POSCAR:
```
LaSiRu2
1.0
3.059 0.000 0.000
0.000 3.133 0.000
-0.839 0.000 7.065
La Si Ru
1 1 2
Cartesian
0.000 0.000 0.000
-0.419 0.000 3.532
1.129 1.567 2.181
1.092 1.567 4.884
```

Output
Its final energy is -7.462 eV/atom. As for the symmetry: P2/m. As for the formation energy from raw total energies: -237 meV per atom. The value obtained for the magnetic moment is 0.00 μB per atom.

[3]
This record from the Alexandria database describes crystalline MgAgC2 at its relaxed geometry. The functional is PBE.

Cell and atoms, written as POSCAR:
```
MgAgC2
1.0
5.001 0.000 0.000
0.000 5.001 0.000
0.000 0.000 9.749
Mg Ag C
4 4 8
Cartesian
0.000 0.000 0.000
0.000 2.500 2.437
2.500 0.000 7.312
2.500 2.500 4.874
0.000 0.000 4.874
0.000 2.500 7.312
2.500 0.000 2.437
2.500 2.500 0.000
1.124 1.250 6.093
1.250 3.625 8.530
1.250 3.876 3.656
1.376 1.250 1.219
3.625 3.750 1.219
3.750 1.124 3.656
3.750 1.376 8.530
3.876 3.750 6.093
```

Output
Its final energy is -3.819 eV/atom. As for the symmetry: I-42d. Its energy of formation from the pure elements is 1.90 eV per atom. The value obtained for the magnetic moment is 0.00 μB per atom.

[4]
This record from the Alexandria database describes crystalline CrAs2Pb at its relaxed geometry. The functional is PBE.

Cell and atoms, written as POSCAR:
```
CrAs2Pb
1.0
4.175 0.000 0.000
0.000 4.175 0.000
0.000 0.000 9.806
Cr As Pb
2 4 2
Cartesian
0.000 0.000 0.000
2.088 2.088 4.903
0.000 0.000 4.903
0.000 2.088 2.452
2.088 0.000 7.355
2.088 2.088 0.000
0.000 2.088 7.355
2.088 0.000 2.452
```

Output
Its final energy is -5.240 eV/atom. As for the symmetry: I-4m2. Its energy of formation from the pure elements is 0.42 eV per atom. The value obtained for the magnetic moment is 0.89 μB per atom.

[5]
This record from the Alexandria database describes crystalline Pa2CoSiC at its relaxed geometry. The functional is PBE.

Cell and atoms, written as POSCAR:
```
Pa2CoSiC
1.0
6.092 0.000 0.000
0.000 3.943 0.000
-2.142 0.000 7.253
Pa Co Si C
4 2 2 2
Cartesian
0.518 0.986 2.773
-0.634 0.986 7.024
4.584 2.957 0.230
3.432 2.957 4.480
2.413 2.957 1.813
1.537 0.986 5.440
0.361 2.957 4.984
3.589 0.986 2.269
0.584 2.957 1.193
3.366 0.986 6.061
```

Output
Its final energy is -8.665 eV/atom. As for the symmetry: P2_1/m. As for the formation energy from raw total energies: -516 meV per atom. The value obtained for the magnetic moment is 0.00 μB per atom.

[6]
This record from the Alexandria database describes crystalline YAgPbSe3 at its relaxed geometry. The functional is PBE.

Cell and atoms, written as POSCAR:
```
YAgPbSe3
1.0
8.477 0.000 0.000
0.000 4.159 0.000
-2.204 0.000 9.025
Y Ag Pb Se
2 2 2 6
Cartesian
1.114 1.040 1.515
5.158 3.119 7.510
2.566 3.119 3.733
3.707 1.040 5.292
0.915 3.119 6.847
5.358 1.040 2.178
-1.305 1.040 7.634
0.955 1.040 4.404
3.103 3.119 1.129
3.170 1.040 7.896
5.317 3.119 4.621
7.578 3.119 1.391
```

Output
Its final energy is -4.891 eV/atom. As for the symmetry: P2_1/m. As for the formation energy from raw total energies: -978 meV per atom. The value obtained for the magnetic moment is 0.00 μB per atom.

[7]
This record from the Alexandria database describes crystalline TaCr2Cd at its relaxed geometry. The functional is PBE.

Cell and atoms, written as POSCAR:
```
TaCr2Cd
1.0
3.190 0.000 0.000
0.000 4.458 0.000
0.000 0.000 8.829
Ta Cr Cd
2 4 2
Cartesian
0.000 0.000 0.000
1.595 2.229 0.000
0.000 2.229 2.076
0.000 2.229 6.753
1.595 0.000 2.076
1.595 0.000 6.753
0.000 0.000 4.415
1.595 2.229 4.415
```

Output
Its final energy is -7.579 eV/atom. As for the symmetry: Cmmm. Its energy of formation from the pure elements is 0.42 eV per atom. The value obtained for the magnetic moment is 0.18 μB per atom.

[8]
This record from the Alexandria database describes crystalline CeSiSb2 at its relaxed geometry. The functional is PBE.

Cell and atoms, written as POSCAR:
```
CeSiSb2
1.0
4.550 0.000 0.000
0.000 4.550 0.000
0.000 0.000 4.600
Ce Si Sb
1 1 2
Cartesian
0.000 0.000 0.000
2.275 2.275 0.000
0.000 2.275 2.300
2.275 0.000 2.300
```

Output
Its energy above the lowest structure with this stoichiometry is 0.0 meV/atom. Its final energy is -5.320 eV/atom. As for the symmetry: P4/mmm. As for the formation energy from raw total energies: -419 meV per atom. The value obtained for the magnetic moment is 0.00 μB per atom.

[9]
This record from the Alexandria database describes crystalline Mn2NiOs2 at its relaxed geometry. The functional is PBE.

Cell and atoms, written as POSCAR:
```
Mn2NiOs2
1.0
7.028 0.000 0.000
0.000 7.028 0.000
0.000 0.000 2.647
Mn Ni Os
4 2 4
Cartesian
0.864 2.650 0.000
2.650 6.163 0.000
4.378 0.864 0.000
6.163 4.378 0.000
0.000 0.000 0.000
3.514 3.514 0.000
1.195 4.708 1.323
2.319 1.195 1.323
4.708 5.833 1.323
5.833 2.319 1.323
```

Output
Its energy above the lowest structure with this stoichiometry is 0.0 meV/atom. Its final energy is -9.047 eV/atom. As for the symmetry: P4/mbm. Its energy of formation from the pure elements is 0.27 eV per atom. The value obtained for the magnetic moment is 0.00 μB per atom.

[10]
This record from the Alexandria database describes crystalline NiI at its relaxed geometry. The functional is PBE.

Cell and atoms, written as POSCAR:
```
NiI
1.0
3.866 0.000 0.000
-1.933 3.348 0.000
0.000 0.000 23.168
Ni I
6 6
Cartesian
0.000 0.000 3.231
0.000 0.000 19.937
0.000 2.232 12.214
0.000 2.232 18.677
1.933 1.116 4.491
1.933 1.116 10.954
0.000 0.000 9.715
0.000 0.000 13.453
0.000 2.232 1.993
0.000 2.232 5.730
1.933 1.116 17.438
1.933 1.116 21.176
```

Output
Its final energy is -3.582 eV/atom. As for the symmetry: R-3m. As for the formation energy from raw total energies: 83 meV per atom. The value obtained for the magnetic moment is 0.09 μB per atom.

[11]
This record from the Alexandria database describes crystalline BaInCo2 at its relaxed geometry. The functional is PBE.

Cell and atoms, written as POSCAR:
```
BaInCo2
1.0
4.186 0.000 0.000
0.000 3.922 0.000
-2.087 0.000 5.795
Ba In Co
1 1 2
Cartesian
0.000 0.000 0.000
2.097 1.961 2.578
0.004 0.000 3.159
0.004 1.961 4.181
```

Output
Its final energy is -4.470 eV/atom. As for the symmetry: Pm. Its energy of formation from the pure elements is 0.25 eV per atom. The value obtained for the magnetic moment is 0.51 μB per atom.

[12]
This record from the Alexandria database describes crystalline YZn5Ga at its relaxed geometry. The functional is PBE.

Cell and atoms, written as POSCAR:
```
YZn5Ga
1.0
8.707 0.000 0.000
0.000 5.270 0.000
0.000 0.000 10.483
Y Zn Ga
4 20 4
Cartesian
2.113 1.317 0.658
2.241 3.952 5.899
6.467 1.317 4.584
6.594 3.952 9.826
0.462 3.952 0.964
0.617 0.052 3.238
0.617 2.583 3.238
0.725 1.317 5.479
1.688 1.317 7.866
2.665 3.952 2.625
3.629 3.952 0.238
3.737 2.687 8.479
3.737 5.218 8.479
3.892 1.317 6.206
4.816 3.952 4.277
4.970 0.052 2.004
4.970 2.583 2.004
5.079 1.317 10.245
6.042 1.317 7.859
7.019 3.952 2.617
7.982 3.952 5.004
8.091 2.687 7.245
8.091 5.218 7.245
8.245 1.317 9.519
1.150 3.952 8.941
3.204 1.317 3.700
5.504 3.952 6.783
7.557 1.317 1.542
```

Output
Its final energy is -2.489 eV/atom. As for the symmetry: Pnma. Its energy of formation from the pure elements is -0.22 eV per atom. The value obtained for the magnetic moment is 0.00 μB per atom.